1.
A geometry-optimized La2CuW structure, computed with GGA-PBE.

Lattice parameters (Å, degrees): 3.478 5.081 10.797 90.00 90.00 90.00
Space group Imm2 (No. 44)
Inequivalent atoms, fractional coordinates:
La 0.000 0.000 0.000
La 0.000 0.500 0.206
Cu 0.000 0.000 0.434
W 0.000 0.500 0.764

Output
crystal system = orthorhombic
total energy = -6.3154 eV/atom

2.
A geometry-optimized Li2CrAuI structure, computed with GGA-PBE.

Lattice parameters (Å, degrees): 5.492 5.492 4.970 90.00 90.00 90.00
Space group P4/mmm (No. 123)
Inequivalent atoms, fractional coordinates:
Li 0.000 0.500 0.000
Cr 0.000 0.000 0.000
Au 0.500 0.500 0.500
I 0.000 0.000 0.500

Output
crystal system = tetragonal
energy relative to the elements, uncorrected = 0.54 eV per atom